No. 1
VASP calculation (PBE) on a relaxed Na3Y2ErO6 crystal.

Unit cell a=5.921 b=5.921 c=5.922 alpha=99.60 beta=99.60 gamma=120.00
Sites, in units of the cell vectors:
1 Na 0.166 0.834 0.500
2 Na 0.834 0.166 0.500
3 Na 0.500 0.500 0.500
4 Y 0.333 0.667 0.000
5 Y 0.667 0.333 0.000
6 Er 0.000 0.000 0.000
7 O 0.930 0.600 0.789
8 O 0.740 0.740 0.211
9 O 0.070 0.400 0.211
10 O 0.600 0.930 0.789
11 O 0.260 0.260 0.789
12 O 0.400 0.070 0.211

ΔE_f (raw)   -2.799 eV/atom
M_tot   0.00 μB per atom
Electronic total energy   -7.07 eV per atom


No. 2
VASP calculation (PBE) on a relaxed ErZnGaPt3 crystal.

Unit cell a=5.626 b=6.675 c=6.836 alpha=119.22 beta=90.00 gamma=90.00
Sites, in units of the cell vectors:
1 Er 0.750 0.311 0.622
2 Er 0.250 0.689 0.378
3 Zn 0.250 0.931 0.863
4 Zn 0.750 0.069 0.137
5 Ga 0.250 0.363 0.726
6 Ga 0.750 0.637 0.274
7 Pt 0.250 0.161 0.321
8 Pt 0.000 0.290 0.000
9 Pt 0.500 0.710 0.000
10 Pt 0.500 0.290 0.000
11 Pt 0.000 0.710 0.000
12 Pt 0.750 0.839 0.679

Calculated formation energy   -641 meV/atom
M_tot   0.00 μB per atom
Electronic total energy   -5.14 eV per atom


No. 3
VASP calculation (PBE) on a relaxed LiLaNdIr crystal.

Unit cell a=5.132 b=5.132 c=5.132 alpha=60.00 beta=60.00 gamma=60.00
Sites, in units of the cell vectors:
1 Ir 0.000 0.000 0.000
2 Nd 0.750 0.750 0.750
3 Li 0.500 0.500 0.500
4 La 0.250 0.250 0.250

Calculated formation energy   -381 meV/atom
M_tot   0.00 μB per atom
Electronic total energy   -5.50 eV per atom


No. 4
VASP calculation (PBE) on a relaxed K2CdHg crystal.

Unit cell a=5.543 b=5.543 c=7.716 alpha=68.95 beta=68.95 gamma=60.00
Sites, in units of the cell vectors:
1 K 0.072 0.072 0.784
2 K 0.262 0.262 0.215
3 Cd 0.510 0.510 0.470
4 Hg 0.656 0.656 0.032

Calculated formation energy   -39 meV/atom
M_tot   0.00 μB per atom
Electronic total energy   -0.89 eV per atom


No. 5
VASP calculation (PBE) on a relaxed BaBe3Si crystal.

Unit cell a=5.191 b=5.191 c=5.191 alpha=90.00 beta=90.00 gamma=90.00
Sites, in units of the cell vectors:
1 Be 0.000 0.500 0.000
2 Be 0.000 0.000 0.500
3 Be 0.500 0.000 0.000
4 Si 0.500 0.500 0.500
5 Ba 0.000 0.000 0.000

ΔE_f (raw)   2.451 eV/atom
M_tot   0.00 μB per atom
Electronic total energy   -1.25 eV per atom


No. 6
VASP calculation (PBE) on a relaxed ScPtAu4 crystal.

Unit cell a=5.428 b=5.428 c=5.428 alpha=60.00 beta=60.00 gamma=60.00
Sites, in units of the cell vectors:
1 Sc 0.000 0.000 0.000
2 Pt 0.750 0.750 0.750
3 Au 0.875 0.375 0.375
4 Au 0.375 0.375 0.875
5 Au 0.375 0.875 0.375
6 Au 0.375 0.375 0.375

Calculated formation energy   -242 meV/atom
M_tot   0.00 μB per atom
Electronic total energy   -4.49 eV per atom


No. 7
VASP calculation (PBE) on a relaxed TiTl3V2Se6 crystal.

Unit cell a=6.301 b=6.301 c=10.389 alpha=107.87 beta=107.87 gamma=119.63
Each line ends with the local moment (μB).
Sites, in units of the cell vectors:
1 Ti 0.000 0.000 0.000  0.16
2 Tl 0.171 0.829 0.500  -0.01
3 Tl 0.829 0.171 0.500  -0.01
4 Tl 0.500 0.500 0.500  -0.01
5 V 0.349 0.651 0.000  1.72
6 V 0.651 0.349 0.000  1.72
7 Se 0.829 0.488 0.825  -0.05
8 Se 0.856 0.856 0.189  -0.07
9 Se 0.171 0.512 0.175  -0.05
10 Se 0.488 0.829 0.825  -0.05
11 Se 0.144 0.144 0.811  -0.07
12 Se 0.512 0.171 0.175  -0.05

ΔE_f (raw)   -0.675 eV/atom
M_tot   0.30 μB per atom
Electronic total energy   -5.19 eV per atom


No. 8
VASP calculation (PBE) on a relaxed Tb3CeSe4 crystal.

Unit cell a=5.829 b=5.829 c=5.829 alpha=90.00 beta=90.00 gamma=90.00
Each line ends with the local moment (μB).
Sites, in units of the cell vectors:
1 Tb 0.000 0.500 0.500  0.06
2 Tb 0.500 0.000 0.500  0.06
3 Tb 0.500 0.500 0.000  0.06
4 Ce 0.000 0.000 0.000  0.77
5 Se 0.500 0.000 0.000  0.00
6 Se 0.000 0.500 0.000  0.00
7 Se 0.000 0.000 0.500  0.00
8 Se 0.500 0.500 0.500  0.00

ΔE_f (raw)   -1.783 eV/atom
M_tot   0.15 μB per atom
Electronic total energy   -6.00 eV per atom